## BaTeMo2O8 (PBE with a Hubbard U)

Data for a relaxed BaTeMo2O8 crystal.

**Symmetry**: R32
**E_tot**: -6.39 eV/atom

Cell: 5.3015 5.3015 9.2266 Å, 73.30 73.30 60.00°
Closest atoms and distances in Å follow each position.
Element x y z (fractional)
O 0.6782 0.6782 0.9654  1 Mo 1.80
O 0.0962 0.7609 0.7012  1 Mo 1.81
Mo 0.2529 0.2529 0.2412  4 O 1.80-1.81
O 0.3218 0.3218 0.0346  1 Mo 1.80
Te 0.5000 0.5000 0.5000  6 O 2.48
O 0.7609 0.4418 0.7012  1 Mo 1.81
Ba 0.0000 0.0000 0.0000  12 O 3.08-3.17
O 0.9038 0.5582 0.2988  1 Mo 1.81
O 0.2391 0.9038 0.2988  1 Mo 1.81
Mo 0.7471 0.7471 0.7588  4 O 1.80-1.81
O 0.5582 0.2391 0.2988  1 Mo 1.81
O 0.4418 0.0962 0.7012  1 Mo 1.81